Record 1
DFT (PBE) results for a relaxed PrNd5Ho5 crystal. Values from VASP.

Values from the calculation:
Relative energy among the computed polymorphs (meV per atom): 28.8
E_form (eV/atom): 0.28
Space-group type: No. 187
Magnetic moment (μB per cell): 0.00
E (eV per atom): -4.4003

```
&SYSTEM
  ibrav = 0, nat = 11, ntyp = 3
/
ATOMIC_SPECIES
Nd 144.24 Nd.upf
Ho 164.93 Ho.upf
Pr 140.91 Pr.upf
CELL_PARAMETERS angstrom
6.1433 0.0000 0.0000
-3.0717 5.3203 0.0000
0.0000 0.0000 11.8288
ATOMIC_POSITIONS angstrom
Nd 0.0000 0.0000 0.0000
Nd 3.0717 1.7734 1.8439
Ho 4.6096 0.8855 5.9144
Ho 0.0000 0.0000 8.6769
Nd 0.0000 3.5469 3.7919
Pr 0.0000 3.5469 0.0000
Ho 1.5338 0.8855 5.9144
Ho 3.0717 3.5492 5.9144
Nd 3.0717 1.7734 9.9849
Ho 0.0000 0.0000 3.1518
Nd 0.0000 3.5469 8.0369
```

***

Record 2
DFT (PBE) results for a relaxed Sc2RhSe crystal. Values from VASP.

Values from the calculation:
Relative energy among the computed polymorphs (meV per atom): 379.1
Space-group type: No. 122
Energy relative to the elements, uncorrected (eV per atom): -0.739
Magnetic moment (μB per cell): 0.00
E (eV per atom): -6.6135

```
&SYSTEM
  ibrav = 0, nat = 8, ntyp = 3
/
ATOMIC_SPECIES
Rh 102.91 Rh.upf
Sc 44.96 Sc.upf
Se 78.96 Se.upf
CELL_PARAMETERS angstrom
-0.0376 5.3317 4.3903
-3.1106 -3.9330 4.7496
1.6565 -0.3230 5.8392
ATOMIC_POSITIONS angstrom
Rh 0.0000 0.0000 0.0000
Rh 0.0224 2.8541 7.3997
Sc -1.5342 -1.9442 4.9180
Se -1.5741 0.6994 4.5700
Sc -1.5542 0.9287 12.4408
Sc 0.1037 0.3352 7.7429
Se -1.5141 -1.7783 7.5794
Sc 0.0013 2.8317 4.8565
```

***

Record 3
DFT (PBE) results for a relaxed Li2ZnPd crystal. Values from VASP.

Values from the calculation:
E_form (eV/atom): -0.32
Space-group type: No. 123
Magnetic moment (μB per cell): 0.00
E (eV per atom): -2.8919

```
&SYSTEM
  ibrav = 0, nat = 4, ntyp = 3
/
ATOMIC_SPECIES
Zn 65.41 Zn.upf
Li 6.94 Li.upf
Pd 106.42 Pd.upf
CELL_PARAMETERS angstrom
-1.7744 0.3630 2.5454
-0.0298 -3.0954 0.4207
4.7240 0.3944 3.2368
ATOMIC_POSITIONS angstrom
Zn -0.9021 -1.3662 1.4830
Li 1.2491 0.1043 0.8558
Li 3.4749 0.2901 2.3809
Pd 1.4599 -1.1690 3.1014
```

***

Please write out number 1 again, unchanged.
DFT (PBE) results for a relaxed PrNd5Ho5 crystal. Values from VASP.

Values from the calculation:
Relative energy among the computed polymorphs (meV per atom): 28.8
E_form (eV/atom): 0.28
Space-group type: No. 187
Magnetic moment (μB per cell): 0.00
E (eV per atom): -4.4003

```
&SYSTEM
  ibrav = 0, nat = 11, ntyp = 3
/
ATOMIC_SPECIES
Nd 144.24 Nd.upf
Ho 164.93 Ho.upf
Pr 140.91 Pr.upf
CELL_PARAMETERS angstrom
6.1433 0.0000 0.0000
-3.0717 5.3203 0.0000
0.0000 0.0000 11.8288
ATOMIC_POSITIONS angstrom
Nd 0.0000 0.0000 0.0000
Nd 3.0717 1.7734 1.8439
Ho 4.6096 0.8855 5.9144
Ho 0.0000 0.0000 8.6769
Nd 0.0000 3.5469 3.7919
Pr 0.0000 3.5469 0.0000
Ho 1.5338 0.8855 5.9144
Ho 3.0717 3.5492 5.9144
Nd 3.0717 1.7734 9.9849
Ho 0.0000 0.0000 3.1518
Nd 0.0000 3.5469 8.0369
```

***

What is the magnetic moment in the second record? 0.00 μB per cell